# 1
{"formula": "Y2Tm3Th4", "functional": "PBE-GGA", "state": "relaxed", "lattice": [[-1.606, 4.552, -1.363], [3.082, -3.577, -6.347], [-10.571, -0.745, 9.967]], "species": ["Tm", "Th", "Tm", "Th", "Th", "Y", "Tm", "Th", "Y"], "fractional_positions": [[0.557, 0.114, 0.671], [0.109, 0.218, 0.333], [0.443, 0.886, 0.329], [0.891, 0.782, 0.667], [0.335, 0.670, 0.004], [0.774, 0.548, 0.332], [0.000, 0.000, 0.000], [0.665, 0.330, 0.996], [0.226, 0.452, 0.668]], "dos_ef_per_ev_fu": 12.42, "vol_a3_per_cell": 285.1, "formation_enthalpy_0k_ev_per_atom": 0.030, "final_energy_ev_per_atom": -6.1944}

# 2
{"formula": "NbTeHPdICl", "functional": "PBE-GGA", "state": "relaxed", "lattice": [[6.762, 0.000, -0.001], [0.000, 3.519, 0.000], [-5.293, 0.000, 12.882]], "species": ["Pd", "H", "I", "I", "Te", "Cl", "Cl", "H", "Te", "Nb", "Nb", "Pd"], "fractional_positions": [[0.430, 0.500, 0.494], [0.190, 0.500, 0.598], [0.529, 0.000, 0.681], [0.529, 0.500, 0.181], [0.180, 0.500, 0.858], [0.813, 0.000, 0.981], [0.813, 0.500, 0.481], [0.190, 0.000, 0.098], [0.180, 0.000, 0.358], [0.120, 0.000, 0.533], [0.120, 0.500, 0.033], [0.430, 0.000, 0.994]], "dos_ef_per_ev_fu": 1.93, "vol_a3_per_cell": 306.5, "de_polymorph_mev_per_atom": 93, "final_energy_ev_per_atom": -4.4737}

# 3
{"formula": "RbLiVTe3", "functional": "PBE-GGA", "state": "relaxed", "lattice": [[-0.658, 1.879, 7.165], [-6.513, -3.985, 0.447], [6.937, -3.814, 1.638]], "species": ["Te", "Te", "V", "Li", "Te", "Rb", "Te", "Te", "Rb", "V", "Te", "Li"], "fractional_positions": [[0.000, 0.771, 0.000], [0.500, 0.229, 0.000], [0.750, 0.936, 0.872], [0.250, 0.434, 0.868], [0.500, 0.771, 0.000], [0.750, 0.229, 0.458], [0.750, 0.760, 0.521], [0.000, 0.229, 0.000], [0.250, 0.771, 0.542], [0.250, 0.064, 0.128], [0.250, 0.240, 0.479], [0.750, 0.566, 0.132]], "dos_ef_per_ev_fu": 0.45, "vol_a3_per_cell": 405.1, "e_form_raw_ev_per_atom": -0.6299, "final_energy_ev_per_atom": -4.2008}

# 4
{"formula": "Sr2CaCdPd", "functional": "PBE-GGA", "state": "relaxed", "lattice": [[-2.770, 4.118, 3.141], [-2.414, -4.178, 3.349], [4.219, 0.265, 3.373]], "species": ["Sr", "Pd", "Cd", "Sr", "Ca"], "fractional_positions": [[0.000, 0.500, 0.000], [0.000, 0.000, 0.000], [0.000, 0.000, 0.500], [0.500, 0.000, 0.000], [0.500, 0.500, 0.500]], "dos_ef_per_ev_fu": 4.15, "vol_a3_per_cell": 186.6, "de_polymorph_mev_per_atom": 72, "formation_enthalpy_0k_ev_per_atom": -0.230, "final_energy_ev_per_atom": -2.5243}

# 5
{"formula": "NiRuAu2", "functional": "PBE-GGA", "state": "relaxed", "lattice": [[4.829, -0.005, 0.000], [1.563, 4.570, 0.000], [-3.198, -2.280, 2.810]], "species": ["Ni", "Au", "Ru", "Au"], "fractional_positions": [[0.750, 0.250, 0.500], [0.000, 0.000, 0.000], [0.250, 0.750, 0.500], [0.500, 0.500, 0.000]], "dos_ef_per_ev_fu": 4.31, "vol_a3_per_cell": 62.0, "de_polymorph_mev_per_atom": 179, "formation_enthalpy_0k_ev_per_atom": 0.373, "final_energy_ev_per_atom": -5.0297}

# 6
{"formula": "MgBe3Ni", "functional": "PBE-GGA", "state": "relaxed", "lattice": [[-1.699, -3.085, 2.333], [-0.766, -2.229, -3.506], [3.791, -1.833, 0.337]], "species": ["Ni", "Be", "Be", "Be", "Mg"], "fractional_positions": [[0.500, 0.500, 0.500], [0.500, 0.000, 0.000], [0.000, 0.000, 0.500], [0.000, 0.500, 0.000], [0.000, 0.000, 0.000]], "dos_ef_per_ev_fu": 2.38, "vol_a3_per_cell": 75.4, "de_polymorph_mev_per_atom": 1408, "formation_enthalpy_0k_ev_per_atom": 1.692, "final_energy_ev_per_atom": -2.0185}

# 7
{"formula": "CaOsPb", "functional": "PBE-GGA", "state": "relaxed", "lattice": [[-1.654, -2.792, -0.965], [3.205, -0.215, 1.068], [-2.260, -0.940, 6.593]], "species": ["Os", "Pb", "Ca"], "fractional_positions": [[0.333, 0.667, 0.341], [0.667, 0.333, 0.628], [0.000, 0.000, 0.031]], "dos_ef_per_ev_fu": 3.53, "vol_a3_per_cell": 69.8, "formation_enthalpy_0k_ev_per_atom": 0.610, "final_energy_ev_per_atom": -5.0365}

# 8
{"formula": "Zn2NiPb", "functional": "PBE-GGA", "state": "relaxed", "lattice": [[-2.163, 1.927, 2.544], [-2.738, -0.323, -2.083], [-1.323, -4.752, 2.474]], "species": ["Zn", "Pb", "Zn", "Ni"], "fractional_positions": [[0.500, 0.375, 0.187], [0.500, 0.874, 0.690], [0.000, 0.875, 0.151], [0.000, 0.375, 0.472]], "dos_ef_per_ev_fu": 1.71, "vol_a3_per_cell": 73.5, "formation_enthalpy_0k_ev_per_atom": 0.100, "final_energy_ev_per_atom": -2.9096}

# 9
{"formula": "Pm3Bi5Se12", "functional": "PBE-GGA", "state": "relaxed", "lattice": [[14.959, 0.000, 0.000], [-4.986, 14.104, 0.000], [-4.986, -7.052, 12.214]], "species": ["Se", "Se", "Pm", "Bi", "Pm", "Se", "Se", "Bi", "Se", "Se", "Se", "Bi", "Bi", "Pm", "Se", "Pm", "Pm", "Se", "Se", "Se", "Se", "Se", "Se", "Bi", "Se", "Se", "Se", "Bi", "Se", "Se", "Bi", "Bi", "Bi", "Bi", "Se", "Se", "Se", "Bi", "Se", "Bi", "Se", "Bi", "Se", "Se", "Se", "Se", "Se", "Bi", "Se", "Pm", "Bi", "Se", "Se", "Se", "Se", "Se", "Se", "Se", "Se", "Bi", "Se", "Pm", "Se", "Se", "Pm", "Pm", "Se", "Se", "Bi", "Pm", "Bi", "Bi", "Se", "Se", "Se", "Pm", "Pm", "Se", "Bi", "Se"], "fractional_positions": [[0.724, 0.139, 0.055], [0.055, 0.639, 0.724], [0.375, 0.750, 0.625], [0.000, 0.000, 0.000], [0.125, 0.250, 0.875], [0.861, 0.276, 0.445], [0.139, 0.724, 0.555], [0.500, 0.500, 0.500], [0.445, 0.669, 0.084], [0.584, 0.639, 0.415], [0.639, 0.584, 0.915], [0.750, 0.125, 0.875], [0.000, 0.000, 0.500], [0.125, 0.875, 0.750], [0.415, 0.139, 0.584], [0.750, 0.875, 0.625], [0.250, 0.125, 0.375], [0.139, 0.415, 0.084], [0.084, 0.169, 0.445], [0.945, 0.361, 0.276], [0.555, 0.331, 0.916], [0.169, 0.085, 0.724], [0.861, 0.585, 0.916], [0.375, 0.125, 0.750], [0.085, 0.916, 0.361], [0.776, 0.445, 0.361], [0.445, 0.776, 0.861], [0.375, 0.250, 0.125], [0.669, 0.224, 0.585], [0.276, 0.415, 0.831], [0.500, 0.500, 0.000], [0.625, 0.875, 0.250], [0.125, 0.750, 0.375], [0.500, 0.000, 0.000], [0.224, 0.669, 0.085], [0.584, 0.945, 0.669], [0.831, 0.916, 0.055], [0.250, 0.375, 0.625], [0.276, 0.861, 0.945], [0.750, 0.625, 0.375], [0.776, 0.331, 0.915], [0.125, 0.375, 0.250], [0.331, 0.776, 0.415], [0.724, 0.585, 0.169], [0.224, 0.555, 0.639], [0.915, 0.831, 0.776], [0.585, 0.861, 0.416], [0.875, 0.250, 0.625], [0.416, 0.361, 0.585], [0.250, 0.625, 0.875], [0.000, 0.500, 0.500], [0.916, 0.085, 0.861], [0.415, 0.276, 0.331], [0.639, 0.055, 0.224], [0.585, 0.724, 0.669], [0.916, 0.831, 0.555], [0.915, 0.084, 0.639], [0.831, 0.915, 0.276], [0.361, 0.416, 0.085], [0.250, 0.875, 0.125], [0.416, 0.055, 0.331], [0.375, 0.625, 0.250], [0.085, 0.169, 0.224], [0.555, 0.224, 0.139], [0.625, 0.375, 0.750], [0.875, 0.125, 0.250], [0.084, 0.915, 0.139], [0.361, 0.945, 0.776], [0.875, 0.625, 0.750], [0.625, 0.250, 0.375], [0.625, 0.750, 0.875], [0.000, 0.500, 0.000], [0.055, 0.416, 0.831], [0.945, 0.584, 0.169], [0.331, 0.555, 0.416], [0.875, 0.750, 0.125], [0.750, 0.375, 0.125], [0.169, 0.084, 0.945], [0.500, 0.000, 0.500], [0.669, 0.445, 0.584]], "vol_a3_per_cell": 2576.9, "e_form_raw_ev_per_atom": -0.7991, "final_energy_ev_per_atom": -4.5726}

# 10
{"formula": "Tb4CeTm3", "functional": "PBE-GGA", "state": "relaxed", "lattice": [[-1.110, -2.957, 1.280], [-0.987, -2.313, -6.196], [11.456, -1.352, 2.278]], "species": ["Tm", "Tb", "Tm", "Ce", "Tb", "Tb", "Tm", "Tb"], "fractional_positions": [[0.124, 0.883, 0.248], [0.259, 0.762, 0.519], [0.000, 0.500, 0.000], [0.500, 0.000, 0.000], [0.876, 0.632, 0.752], [0.124, 0.368, 0.248], [0.876, 0.117, 0.752], [0.741, 0.238, 0.481]], "dos_ef_per_ev_fu": 16.32, "vol_a3_per_cell": 254.0, "de_polymorph_mev_per_atom": 161, "formation_enthalpy_0k_ev_per_atom": 0.197, "final_energy_ev_per_atom": -4.5362}

# 11
{"formula": "LiCd", "functional": "PBE-GGA", "state": "relaxed", "lattice": [[-3.691, 1.293, -2.694], [3.886, -1.836, -2.020], [-2.124, -5.038, 0.493]], "species": ["Cd", "Cd", "Li", "Li"], "fractional_positions": [[0.667, 0.333, 0.250], [0.333, 0.667, 0.750], [0.667, 0.333, 0.750], [0.333, 0.667, 0.250]], "dos_ef_per_ev_fu": 1.00, "vol_a3_per_cell": 107.2, "formation_enthalpy_0k_ev_per_atom": 0.168, "final_energy_ev_per_atom": -1.2469}

# 12
{"formula": "BaTl2Co", "functional": "PBE-GGA", "state": "relaxed", "lattice": [[5.993, 0.000, 0.000], [0.000, 5.993, 0.000], [2.996, 2.996, 7.947]], "species": ["Tl", "Tl", "Ba", "Tl", "Co", "Tl", "Co", "Ba"], "fractional_positions": [[0.875, 0.675, 0.750], [0.375, 0.575, 0.750], [0.750, 0.250, 0.500], [0.425, 0.125, 0.250], [0.500, 0.500, 0.000], [0.325, 0.625, 0.250], [0.250, 0.750, 0.500], [0.000, 0.000, 0.000]], "dos_ef_per_ev_fu": 5.74, "vol_a3_per_cell": 285.4, "formation_enthalpy_0k_ev_per_atom": 0.249, "final_energy_ev_per_atom": -3.1914}